a | Below is Re after structural relaxation, with properties calculated at the GGA-PBEsol level.

Cell: 2.7440 2.7440 2.7440 Å, 60.00 60.00 60.00°
With the nearest neighbours (Å) after each atom.
Element x y z (fractional)
Re (0.0000, 0.0000, 0.0000)  12 Re 2.74

Output
Magnetic moment   0.00 Bohr magnetons per cell



b | Below is Re after structural relaxation, with properties calculated at the GGA-PBEsol level.

Cell: 6.8521 6.8521 6.8521 Å, 23.16 23.16 23.16°
With the nearest neighbours (Å) after each atom.
Element x y z (fractional)
Re (0.0000, 0.0000, 0.0000)  12 Re 2.73-2.75
Re (0.2222, 0.2222, 0.2222)  12 Re 2.73-2.75
Re (0.7778, 0.7778, 0.7778)  12 Re 2.73-2.75

Output
Magnetic moment   0.00 Bohr magnetons per cell



The least stable of them is a.



a | Below is ReRh3 after structural relaxation, with properties calculated at the GGA-PBEsol level.

Cell: 8.0063 8.0063 8.0063 Å, 152.54 152.36 39.36°
With the nearest neighbours (Å) after each atom.
Element x y z (fractional)
Re (0.4378, 0.1878, 0.2500)  10 Rh 2.65-2.70, 2 Re 2.67
Re (0.5622, 0.8122, 0.7500)  10 Rh 2.65-2.70, 2 Re 2.67
Rh (0.0612, 0.3112, 0.7500)  6 Rh 2.65-2.71, 6 Re 2.67-2.70
Rh (0.1834, 0.9334, 0.2500)  2 Re 2.65, 10 Rh 2.65-2.77
Rh (0.3117, 0.5617, 0.7500)  10 Rh 2.67-2.71, 2 Re 2.69
Rh (0.6883, 0.4383, 0.2500)  10 Rh 2.67-2.71, 2 Re 2.69
Rh (0.8166, 0.0666, 0.7500)  2 Re 2.65, 10 Rh 2.65-2.77
Rh (0.9388, 0.6888, 0.2500)  6 Rh 2.65-2.71, 6 Re 2.67-2.70

Output
Magnetic moment   0.00 Bohr magnetons per cell



b | Below is ReRh3 after structural relaxation, with properties calculated at the GGA-PBEsol level.

Cell: 2.7119 2.7119 8.6412 Å, 90.00 90.00 120.00°
With the nearest neighbours (Å) after each atom.
Element x y z (fractional)
Re (0.0000, 0.0000, 0.0000)  6 Rh 2.63, 6 Re 2.71
Rh (0.0000, 0.0000, 0.5000)  12 Rh 2.71
Rh (0.6667, 0.3333, 0.2445)  3 Re 2.63, 9 Rh 2.71
Rh (0.6667, 0.3333, 0.7555)  3 Re 2.63, 9 Rh 2.71

Output
Magnetic moment   0.00 Bohr magnetons per cell



The least stable of them is a.